A plane-wave DFT calculation with PBE was carried out for an optimized crystal structure of CrFe2Rh.

Results
E	-8.432	eV/atom
mass density	8.98	g/cm3

Unit cell a=2.797 b=2.797 c=6.300 alpha=90.00 beta=90.00 gamma=90.00
Space group P4mm (No. 99)
Symmetry-distinct sites (fractional):
Cr1 0.000 0.000 0.000 (multiplicity 1)
Fe1 0.000 0.000 0.458 (multiplicity 1)
Fe2 0.500 0.500 0.226 (multiplicity 1)
Rh1 0.500 0.500 0.730 (multiplicity 1)

A plane-wave DFT calculation with PBE was carried out for an optimized crystal structure of Cr2FeRh.

Results
ΔE to the lowest computed polymorph	60	meV/atom
mass density	8.93	g/cm3

Unit cell a=8.494 b=2.597 c=4.503 alpha=90.00 beta=100.52 gamma=90.00
Space group Cm (No. 8)
Symmetry-distinct sites (fractional):
Cr1 0.000 0.000 0.000 (multiplicity 2)
Cr2 0.250 0.000 0.730 (multiplicity 2)
Fe1 0.247 0.500 0.215 (multiplicity 2)
Rh1 0.499 0.000 0.494 (multiplicity 2)

A plane-wave DFT calculation with PBE was carried out for an optimized crystal structure of CrFe2Rh.

Results
E	-8.341	eV/atom
mass density	8.85	g/cm3

Unit cell a=2.892 b=4.203 c=8.232 alpha=90.00 beta=90.00 gamma=90.00
Space group Cmmm (No. 65)
Symmetry-distinct sites (fractional):
Cr1 0.000 0.000 0.000 (multiplicity 2)
Fe1 0.000 0.500 0.239 (multiplicity 4)
Rh1 0.000 0.000 0.500 (multiplicity 2)

A plane-wave DFT calculation with PBE was carried out for an optimized crystal structure of CrFeRh.

Results
ΔE to the lowest computed polymorph	0	meV/atom
mass density	9.26	g/cm3

Unit cell a=2.640 b=3.605 c=7.943 alpha=90.00 beta=90.00 gamma=90.00
Space group Imm2 (No. 44)
Symmetry-distinct sites (fractional):
Cr1 0.000 0.000 0.000 (multiplicity 2)
Fe1 0.000 0.000 0.660 (multiplicity 2)
Rh1 0.000 0.000 0.331 (multiplicity 2)